The following is a GGA-PBE calculation of a geometry-optimized SrTa2Mn structure, from Alexandria via LeMat-Bulk.

Results
theoretical density: 10.08 Mg/m³
E_form: 978 meV/atom
relative energy among the computed polymorphs: 460 meV/atom

```
data_SrTa2Mn
_cell_length_a 6.927
_cell_length_b 6.927
_cell_length_c 6.927
_cell_angle_alpha 90.00
_cell_angle_beta 90.00
_cell_angle_gamma 90.00
_space_group_name_H-M_alt 'F -4 3 m'
_space_group_IT_number 216
_space_group_name_Hall 'F -4 2 3'
loop_
_atom_site_label
_atom_site_type_symbol
_atom_site_fract_x
_atom_site_fract_y
_atom_site_fract_z
Sr1 Sr 0.000 0.000 0.000
Ta1 Ta 0.000 0.000 0.500
Ta2 Ta 0.250 0.250 0.250
Mn1 Mn 0.250 0.250 0.750
```

The following is a GGA-PBE calculation of a geometry-optimized SrTa2Mn structure, from Alexandria via LeMat-Bulk.

Results
theoretical density: 10.15 Mg/m³
E_form: 971 meV/atom
relative energy among the computed polymorphs: 453 meV/atom

```
data_SrTa2Mn
_cell_length_a 5.676
_cell_length_b 10.669
_cell_length_c 2.893
_cell_angle_alpha 90.00
_cell_angle_beta 109.62
_cell_angle_gamma 90.00
_space_group_name_H-M_alt 'C 1 2/m 1'
_space_group_IT_number 12
_space_group_name_Hall '-C 2y'
loop_
_atom_site_label
_atom_site_type_symbol
_atom_site_fract_x
_atom_site_fract_y
_atom_site_fract_z
Sr1 Sr 0.000 0.000 0.000
Ta1 Ta 0.250 0.250 0.500
Mn1 Mn 0.000 0.500 0.000
```

The following is a GGA-PBE calculation of a geometry-optimized SrTa2Mn structure, from Alexandria via LeMat-Bulk.

Results
theoretical density: 10.17 Mg/m³
E_form: 700 meV/atom
relative energy among the computed polymorphs: 182 meV/atom

```
data_SrTa2Mn
_cell_length_a 2.982
_cell_length_b 5.319
_cell_length_c 10.382
_cell_angle_alpha 90.00
_cell_angle_beta 90.00
_cell_angle_gamma 90.00
_space_group_name_H-M_alt 'I m m m'
_space_group_IT_number 71
_space_group_name_Hall '-I 2 2'
loop_
_atom_site_label
_atom_site_type_symbol
_atom_site_fract_x
_atom_site_fract_y
_atom_site_fract_z
Sr1 Sr 0.000 0.000 0.000
Ta1 Ta 0.000 0.500 0.199
Mn1 Mn 0.000 0.000 0.500
```

The following is a GGA-PBE calculation of a geometry-optimized SrTaMn3 structure, from Alexandria via LeMat-Bulk.

Results
theoretical density: 6.07 Mg/m³
E_form: 863 meV/atom
relative energy among the computed polymorphs: 0 meV/atom

```
data_SrTaMn3
_cell_length_a 4.913
_cell_length_b 4.913
_cell_length_c 4.913
_cell_angle_alpha 90.00
_cell_angle_beta 90.00
_cell_angle_gamma 90.00
_space_group_name_H-M_alt 'P m -3 m'
_space_group_IT_number 221
_space_group_name_Hall '-P 4 2 3'
loop_
_atom_site_label
_atom_site_type_symbol
_atom_site_fract_x
_atom_site_fract_y
_atom_site_fract_z
Sr1 Sr 0.000 0.000 0.000
Ta1 Ta 0.500 0.500 0.500
Mn1 Mn 0.000 0.500 0.500
```

The following is a GGA-PBE calculation of a geometry-optimized SrTa2Mn2 structure, from Alexandria via LeMat-Bulk.

Results
theoretical density: 9.96 Mg/m³
E_form: 510 meV/atom
relative energy among the computed polymorphs: 96 meV/atom

```
data_SrTa2Mn2
_cell_length_a 8.044
_cell_length_b 8.044
_cell_length_c 2.883
_cell_angle_alpha 90.00
_cell_angle_beta 90.00
_cell_angle_gamma 90.00
_space_group_name_H-M_alt 'P 4/m b m'
_space_group_IT_number 127
_space_group_name_Hall '-P 4 2ab'
loop_
_atom_site_label
_atom_site_type_symbol
_atom_site_fract_x
_atom_site_fract_y
_atom_site_fract_z
Sr1 Sr 0.000 0.000 0.000
Ta1 Ta 0.138 0.362 0.000
Mn1 Mn 0.141 0.641 0.500
```

The following is a GGA-PBE calculation of a geometry-optimized SrTa2Mn structure, from Alexandria via LeMat-Bulk.

Results
theoretical density: 9.86 Mg/m³
E_form: 692 meV/atom
relative energy among the computed polymorphs: 174 meV/atom

```
data_SrTa2Mn
_cell_length_a 10.910
_cell_length_b 3.024
_cell_length_c 5.491
_cell_angle_alpha 90.00
_cell_angle_beta 110.32
_cell_angle_gamma 90.00
_space_group_name_H-M_alt 'C 1 2/m 1'
_space_group_IT_number 12
_space_group_name_Hall '-C 2y'
loop_
_atom_site_label
_atom_site_type_symbol
_atom_site_fract_x
_atom_site_fract_y
_atom_site_fract_z
Sr1 Sr 0.000 0.000 0.000
Ta1 Ta 0.196 0.000 0.662
Mn1 Mn 0.000 0.500 0.500
```

The following is a GGA-PBE calculation of a geometry-optimized SrTa2Mn structure, from Alexandria via LeMat-Bulk.

Results
theoretical density: 10.06 Mg/m³
E_form: 1019 meV/atom
relative energy among the computed polymorphs: 501 meV/atom

```
data_SrTa2Mn
_cell_length_a 5.697
_cell_length_b 10.278
_cell_length_c 2.843
_cell_angle_alpha 90.00
_cell_angle_beta 90.00
_cell_angle_gamma 90.00
_space_group_name_H-M_alt 'C m m m'
_space_group_IT_number 65
_space_group_name_Hall '-C 2 2'
loop_
_atom_site_label
_atom_site_type_symbol
_atom_site_fract_x
_atom_site_fract_y
_atom_site_fract_z
Sr1 Sr 0.000 0.000 0.000
Ta1 Ta 0.250 0.250 0.500
Mn1 Mn 0.000 0.500 0.000
```

The following is a GGA-PBE calculation of a geometry-optimized SrTa2Mn structure, from Alexandria via LeMat-Bulk.

Results
theoretical density: 10.15 Mg/m³
E_form: 551 meV/atom
relative energy among the computed polymorphs: 33 meV/atom

```
data_SrTa2Mn
_cell_length_a 3.009
_cell_length_b 3.009
_cell_length_c 9.110
_cell_angle_alpha 90.00
_cell_angle_beta 90.00
_cell_angle_gamma 90.00
_space_group_name_H-M_alt 'P 4/m m m'
_space_group_IT_number 123
_space_group_name_Hall '-P 4 2'
loop_
_atom_site_label
_atom_site_type_symbol
_atom_site_fract_x
_atom_site_fract_y
_atom_site_fract_z
Sr1 Sr 0.000 0.000 0.000
Ta1 Ta 0.500 0.500 0.330
Mn1 Mn 0.000 0.000 0.500
```

> Number 5 is which compound?

SrTa2Mn2

> Among the records above, which one has the lowest E_form?

SrTa2Mn2

Repeat the fifth record exactly.
The following is a GGA-PBE calculation of a geometry-optimized SrTa2Mn2 structure, from Alexandria via LeMat-Bulk.

Results
theoretical density: 9.96 Mg/m³
E_form: 510 meV/atom
relative energy among the computed polymorphs: 96 meV/atom

```
data_SrTa2Mn2
_cell_length_a 8.044
_cell_length_b 8.044
_cell_length_c 2.883
_cell_angle_alpha 90.00
_cell_angle_beta 90.00
_cell_angle_gamma 90.00
_space_group_name_H-M_alt 'P 4/m b m'
_space_group_IT_number 127
_space_group_name_Hall '-P 4 2ab'
loop_
_atom_site_label
_atom_site_type_symbol
_atom_site_fract_x
_atom_site_fract_y
_atom_site_fract_z
Sr1 Sr 0.000 0.000 0.000
Ta1 Ta 0.138 0.362 0.000
Mn1 Mn 0.141 0.641 0.500
```